16
Lattice="4.262 0.000 0.000 0.000 4.262 0.000 0.000 0.000 8.540" Properties=species:S:1:pos:R:3 comment="Mg6ZnCuO8 PBE optimized geometry" crystal_system=tetragonal polymorph_energy_ev_per_atom=0.0000 raw_formation_energy_mev_per_atom=-2251 spacegroup="P4/mmm, No. 123" pbc="T T T"
Mg 0.000 0.000 0.000
Mg 0.000 0.000 4.270
Mg 0.000 2.131 2.122
Mg 0.000 2.131 6.418
Mg 2.131 0.000 2.122
Mg 2.131 0.000 6.418
Zn 2.131 2.131 4.270
Cu 2.131 2.131 0.000
O 0.000 0.000 2.133
O 0.000 0.000 6.407
O 0.000 2.131 0.000
O 0.000 2.131 4.270
O 2.131 0.000 0.000
O 2.131 0.000 4.270
O 2.131 2.131 2.141
O 2.131 2.131 6.399

=====

12
Lattice="2.867 -5.855 0.000 2.867 5.855 0.000 0.000 0.000 11.384" Properties=species:S:1:pos:R:3 comment="TbPrDyTm3 PBE optimized geometry" e_form_ev_per_atom=0.121 crystal_system=orthorhombic spacegroup="Cmcm, No. 63" pbc="T T T"
Tb 0.000 0.000 0.000
Tb 0.000 0.000 5.692
Pr 2.867 0.236 8.538
Pr 2.867 -0.236 2.846
Dy 2.867 3.822 8.538
Dy 2.867 -3.822 2.846
Tm 2.867 4.043 2.846
Tm 2.867 2.043 0.204
Tm 2.867 2.043 5.488
Tm 2.867 -2.043 5.896
Tm 2.867 -2.043 11.180
Tm 2.867 -4.043 8.538

=====

8
Lattice="-2.265 2.265 8.587 2.265 -2.265 8.587 2.265 2.265 -8.587" Properties=species:S:1:pos:R:3 comment="CaV2Ru PBE optimized geometry" e_form_ev_per_atom=0.838 crystal_system=tetragonal polymorph_energy_ev_per_atom=0.3077 spacegroup="I4_1/amd, No. 141" pbc="T T T"
Ca 2.265 1.133 2.147
Ca 0.000 1.133 6.440
V 0.000 0.000 0.000
V 1.133 1.133 -4.293
V 1.133 -1.133 4.293
V 0.000 2.265 0.000
Ru 2.265 -1.133 6.440
Ru 0.000 3.398 2.147

=====

14
Lattice="6.018 0.000 0.000 -1.331 5.938 0.000 -1.360 -1.012 8.751" Properties=species:S:1:pos:R:3 comment="GaPb2Au4 PBE optimized geometry" e_form_ev_per_atom=-0.069 crystal_system=triclinic spacegroup="P-1, No. 2" pbc="T T T"
Ga -0.091 1.515 0.396
Ga 3.417 3.411 8.355
Pb -1.459 3.831 5.402
Pb 1.709 1.178 5.585
Pb 1.618 3.748 3.166
Pb 4.786 1.095 3.349
Au -1.177 4.256 2.423
Au -0.142 2.525 8.089
Au 0.637 -0.540 7.869
Au 1.665 0.778 2.358
Au 1.662 4.148 6.393
Au 2.690 5.466 0.882
Au 3.468 2.401 0.662
Au 4.504 0.670 6.328

=====

4
Lattice="3.373 0.000 0.000 0.000 5.278 0.000 -0.508 0.000 5.703" Properties=species:S:1:pos:R:3 comment="Tl2CrIn PBE optimized geometry" e_form_ev_per_atom=0.430 crystal_system=monoclinic polymorph_energy_ev_per_atom=0.1142 spacegroup="P2/m, No. 10" pbc="T T T"
Tl 0.636 0.000 1.471
Tl 2.230 0.000 4.232
Cr -0.254 2.639 2.852
In 1.687 2.639 0.000

=====

14
Lattice="5.151 0.000 0.000 0.000 6.053 0.000 -1.850 0.000 9.671" Properties=species:S:1:pos:R:3 comment="Sc4Ga2Sn PBE optimized geometry" e_form_ev_per_atom=-0.450 crystal_system=monoclinic spacegroup="P2_1/m, No. 11" pbc="T T T"
Sc 0.415 1.513 1.328
Sc 0.405 4.540 4.361
Sc 0.348 0.037 7.075
Sc 0.348 2.990 7.075
Sc 2.952 3.064 2.596
Sc 2.952 6.016 2.596
Sc 2.895 1.513 5.310
Sc 2.886 4.540 8.343
Ga 0.329 1.513 4.227
Ga 0.374 4.540 9.509
Ga 2.927 1.513 0.162
Ga 2.972 4.540 5.444
Sn 0.251 4.540 1.590
Sn 3.049 1.513 8.081

=====

80
Lattice="-8.183 8.183 8.183 8.183 -8.183 8.183 8.183 8.183 -8.183" Properties=species:S:1:pos:R:3 comment="Ca12Sb3C5 PBE optimized geometry" crystal_system=cubic raw_formation_energy_mev_per_atom=19 spacegroup="Ia-3d, No. 230" pbc="T T T"
Ca 2.381 -0.533 0.829
Ca 9.894 4.921 -4.625
Ca 10.564 0.533 0.829
Ca 9.894 -3.263 4.625
Ca 7.650 -0.829 2.381
Ca 12.808 -1.711 3.263
Ca 0.829 2.381 -0.533
Ca 11.446 3.559 -1.711
Ca 4.921 4.625 -1.711
Ca 7.354 2.381 0.533
Ca -0.533 0.829 2.381
Ca 4.625 -1.711 4.921
Ca 7.650 7.354 -2.381
Ca 4.625 1.711 3.263
Ca 4.921 -4.625 9.894
Ca 7.354 -2.381 7.650
Ca 3.263 4.625 1.711
Ca 9.012 5.803 0.533
Ca 4.625 9.894 -3.263
Ca 7.650 0.829 5.803
Ca 2.381 7.650 -0.829
Ca 9.894 3.263 3.559
Ca 1.711 3.263 4.625
Ca 2.381 0.533 7.354
Ca 5.803 7.650 0.829
Ca 6.472 4.921 3.559
Ca -1.711 4.921 4.625
Ca 5.803 0.533 9.012
Ca 0.533 7.354 2.381
Ca 3.559 -1.711 11.446
Ca -0.829 2.381 7.650
Ca 4.921 3.559 6.472
Ca 0.829 10.564 0.533
Ca 3.263 12.808 -1.711
Ca 3.559 6.472 4.921
Ca 0.533 0.829 10.564
Ca 3.559 9.894 3.263
Ca 8.716 7.354 5.803
Ca 0.829 5.803 7.650
Ca 3.263 3.559 9.894
Ca -3.263 4.625 9.894
Ca 7.354 5.803 8.716
Ca -4.625 9.894 4.921
Ca 0.533 9.012 5.803
Ca -1.711 11.446 3.559
Ca -2.381 7.650 7.354
Ca -1.711 3.263 12.808
Ca 5.803 8.716 7.354
Sb 4.092 2.046 0.000
Sb 8.183 4.092 -2.046
Sb 2.046 0.000 4.092
Sb 10.229 0.000 4.092
Sb 0.000 4.092 2.046
Sb 4.092 -2.046 8.183
Sb 4.092 10.229 0.000
Sb 8.183 4.092 6.138
Sb -2.046 8.183 4.092
Sb 6.138 8.183 4.092
Sb 0.000 4.092 10.229
Sb 4.092 6.138 8.183
C 0.000 0.000 0.000
C 4.092 4.092 -4.092
C 4.092 -4.092 4.092
C 8.183 0.000 0.000
C 12.275 2.046 0.000
C 8.183 -4.092 6.138
C 6.138 8.183 -4.092
C 6.138 0.000 4.092
C 4.092 6.138 0.000
C 8.183 4.092 2.046
C -4.092 4.092 4.092
C 0.000 8.183 0.000
C 0.000 0.000 8.183
C 4.092 4.092 4.092
C 0.000 4.092 6.138
C 4.092 2.046 8.183
C 2.046 8.183 4.092
C 2.046 0.000 12.275
C 0.000 12.275 2.046
C -4.092 6.138 8.183

=====

4
Lattice="0.000 3.442 3.442 3.442 0.000 3.442 3.442 3.442 0.000" Properties=species:S:1:pos:R:3 comment="HoScMnGa PBE optimized geometry" e_form_ev_per_atom=-0.190 crystal_system=cubic spacegroup="F-43m, No. 216" pbc="T T T"
Ho 0.000 0.000 0.000
Sc 3.442 3.442 3.442
Mn 1.721 1.721 1.721
Ga 5.163 5.163 5.163

=====

4
Lattice="1.388 0.801 7.362 -1.388 0.801 7.362 0.000 -1.602 7.362" Properties=species:S:1:pos:R:3 comment="CuBIr2 PBE optimized geometry" e_form_ev_per_atom=-0.034 crystal_system=trigonal spacegroup="R3m, No. 160" pbc="T T T"
Cu 0.000 0.000 0.000
B 0.000 0.000 3.674
Ir 0.000 0.000 12.540
Ir 0.000 0.000 16.907

=====

28
Lattice="8.458 -4.849 0.000 8.458 4.849 0.000 -5.532 0.000 11.736" Properties=species:S:1:pos:R:3 comment="Cs2Tl9In3 PBE optimized geometry" e_form_ev_per_atom=-0.043 crystal_system=monoclinic spacegroup="C2/c, No. 15" pbc="T T T"
Cs 1.504 0.826 2.906
Cs -1.262 -0.826 8.774
Cs 12.646 0.826 2.961
Cs 9.880 -0.826 8.829
Tl 7.050 3.987 1.036
Tl 7.101 3.987 4.832
Tl 1.547 0.792 6.807
Tl 5.386 1.688 3.031
Tl 1.526 0.804 11.197
Tl 4.313 -0.792 0.939
Tl 4.309 1.128 8.802
Tl 8.764 1.688 2.836
Tl 4.293 -0.804 5.330
Tl 7.092 0.804 6.406
Tl 2.620 -1.688 8.899
Tl 7.075 -1.128 2.934
Tl 7.071 0.792 10.796
Tl 9.858 -0.804 0.538
Tl 5.998 -1.688 8.704
Tl 9.837 -0.792 4.928
Tl 4.284 -3.987 6.903
Tl 4.335 -3.987 10.700
In 4.229 2.424 0.000
In 4.212 2.591 5.906
In 4.407 2.591 11.697
In 1.463 -2.424 5.868
In 6.978 -2.591 0.038
In 7.173 -2.591 5.829

=====

5
Lattice="5.439 0.000 0.000 0.000 5.439 0.000 0.000 0.000 5.685" Properties=species:S:1:pos:R:3 comment="NaGeSb2I PBE optimized geometry" crystal_system=tetragonal polymorph_energy_ev_per_atom=0.6034 raw_formation_energy_mev_per_atom=807 spacegroup="P4/mmm, No. 123" pbc="T T T"
Na 0.000 0.000 0.000
Ge 2.719 2.719 2.843
Sb 0.000 2.719 0.000
Sb 2.719 0.000 0.000
I 0.000 0.000 2.843

=====

5
Lattice="4.838 0.000 0.000 0.000 4.838 0.000 0.000 0.000 4.838" Properties=species:S:1:pos:R:3 comment="RbScNi3 PBE optimized geometry" e_form_ev_per_atom=0.905 crystal_system=cubic polymorph_energy_ev_per_atom=0.0000 spacegroup="Pm-3m, No. 221" pbc="T T T"
Rb 0.000 0.000 0.000
Sc 2.419 2.419 2.419
Ni 0.000 2.419 2.419
Ni 2.419 0.000 2.419
Ni 2.419 2.419 0.000

=====

3
Lattice="4.682 -2.707 0.000 4.682 2.707 0.000 -0.009 0.000 3.556" Properties=species:S:1:pos:R:3 comment="NaPb2 PBE optimized geometry" e_form_ev_per_atom=-0.117 crystal_system=monoclinic polymorph_energy_ev_per_atom=0.0000 spacegroup="C2/m, No. 12" pbc="T T T"
Na 0.000 0.000 0.000
Pb 3.116 0.000 2.240
Pb 6.238 0.000 1.315

=====

4
Lattice="1.795 1.037 5.939 -1.795 1.037 5.939 0.000 -2.073 5.939" Properties=species:S:1:pos:R:3 comment="DyPaC2 PBE optimized geometry" e_form_ev_per_atom=-0.220 crystal_system=trigonal polymorph_energy_ev_per_atom=0.1815 spacegroup="R3m, No. 160" pbc="T T T"
Dy 0.000 0.000 0.000
Pa 0.000 0.000 3.011
C 0.000 0.000 10.296
C 0.000 0.000 13.576

=====

8
Lattice="0.000 4.497 4.497 4.497 0.000 4.497 4.497 4.497 0.000" Properties=species:S:1:pos:R:3 comment="LiCl7 PBE optimized geometry" crystal_system=cubic raw_formation_energy_mev_per_atom=316 spacegroup="Fm-3m, No. 225" pbc="T T T"
Li 0.000 0.000 0.000
Cl 2.249 2.249 0.000
Cl 2.249 0.000 2.249
Cl 4.497 2.249 2.249
Cl 0.000 2.249 2.249
Cl 2.249 4.497 2.249
Cl 2.249 2.249 4.497
Cl 4.497 4.497 4.497

=====

12
Lattice="2.847 -2.859 0.000 2.847 2.859 0.000 -2.014 0.000 14.194" Properties=species:S:1:pos:R:3 comment="LaIn2Si2Pt7 PBE optimized geometry" crystal_system=monoclinic raw_formation_energy_mev_per_atom=-639 spacegroup="C2/m, No. 12" pbc="T T T"
La 0.000 0.000 0.000
In -0.197 0.000 5.648
In 3.876 0.000 8.545
Si 0.838 0.000 10.545
Si 2.841 0.000 3.648
Pt 1.419 1.430 2.346
Pt 0.998 0.000 8.240
Pt 2.261 1.430 11.848
Pt 2.847 0.000 0.000
Pt 1.419 -1.430 2.346
Pt 2.682 0.000 5.953
Pt 2.261 -1.430 11.848

=====

3
Lattice="0.000 2.860 5.250 2.287 0.000 5.250 2.287 2.860 0.000" Properties=species:S:1:pos:R:3 comment="SrCoSe PBE optimized geometry" crystal_system=orthorhombic polymorph_energy_ev_per_atom=0.5051 raw_formation_energy_mev_per_atom=-220 spacegroup="Fmm2, No. 42" pbc="T T T"
Sr 0.000 0.000 0.000
Co 2.287 2.860 2.997
Se 2.287 2.860 7.463

=====

8
Lattice="-2.394 4.333 4.867 2.394 -4.333 4.867 2.394 4.333 -4.867" Properties=species:S:1:pos:R:3 comment="CsFe2NiS4 PBE optimized geometry" crystal_system=orthorhombic raw_formation_energy_mev_per_atom=-206 spacegroup="I222, No. 23" pbc="T T T"
Cs 0.000 0.000 0.000
Fe 2.394 0.000 3.696
Fe 0.000 4.333 1.171
Ni 0.000 0.000 4.867
S 1.537 2.834 -1.395
S 0.856 -1.499 6.262
S 0.856 1.499 3.472
S 1.537 5.832 1.395

=====

21
Lattice="10.251 0.000 0.000 -5.125 8.877 0.000 0.000 0.000 4.844" Properties=species:S:1:pos:R:3 comment="K2Ge7Au12 PBE optimized geometry" e_form_ev_per_atom=-0.102 crystal_system=trigonal spacegroup="P-3, No. 147" pbc="T T T"
K 0.000 5.918 1.307
K 5.125 2.959 3.537
Ge 0.000 0.000 0.000
Ge -2.600 6.397 3.970
Ge 0.885 3.427 3.970
Ge 3.411 0.947 0.875
Ge 1.715 7.930 3.970
Ge 4.240 5.450 0.875
Ge 7.725 2.480 0.875
Au -1.723 3.989 3.543
Au -0.041 2.281 1.542
Au -3.129 7.772 1.542
Au 1.955 1.176 3.302
Au -0.809 8.375 3.543
Au 2.593 3.487 1.302
Au 2.532 5.390 3.543
Au 5.934 0.502 1.302
Au 3.170 7.701 1.542
Au 8.255 1.105 3.302
Au 5.166 6.596 3.302
Au 6.849 4.888 1.302

=====

Per-record Fermi-level density of states, states/eV/atom: 0.131, 1.842, 1.374, 0.417, 0.525, 0.887, 0.714, 1.409, 0.490, 0.571, 1.109, 0.712, 0.215, 0.143, 1.081, 0.274, 0.961, 0.547, 0.333
Per-record total magnetic moment, μB per atom: 0.022, 0.000, 0.000, 0.000, 1.052, 0.000, 0.255, 0.766, 0.000, 0.000, 0.000, 0.000, 0.000, 0.000, 0.706, 0.000, 0.409, 0.849, 0.000